No. 1
Here is crystalline Mn2NiRh2 at its relaxed geometry from Alexandria via LeMat-Bulk. Energies are from PBE-GGA.

a b c (Å): 6.9869 6.9869 2.6556
angles (deg): 90.00 90.00 90.00
Last column: nearest neighbours and their distance in Å.
Fractional coordinates of all 10 atoms:
Rh1 0.6754 0.8246 0.5000  6 Mn 2.44-2.47, 2 Rh 2.66
Rh2 0.8246 0.3246 0.5000  6 Mn 2.44-2.47, 2 Rh 2.66
Rh3 0.3246 0.1754 0.5000  6 Mn 2.44-2.47, 2 Rh 2.66
Rh4 0.1754 0.6754 0.5000  6 Mn 2.44-2.47, 2 Rh 2.66
Ni1 0.5000 0.5000 0.0000  2 Ni 2.66, 4 Mn 2.80, 8 Rh 2.90
Ni2 0.0000 0.0000 0.0000  2 Ni 2.66, 4 Mn 2.80, 8 Rh 2.90
Mn1 0.1169 0.3831 0.0000  1 Mn 2.31, 6 Rh 2.44-2.47
Mn2 0.6169 0.1169 0.0000  1 Mn 2.31, 6 Rh 2.44-2.47
Mn3 0.3831 0.8831 0.0000  1 Mn 2.31, 6 Rh 2.44-2.47
Mn4 0.8831 0.6169 0.0000  1 Mn 2.31, 6 Rh 2.44-2.47

Properties
Energy relative to the elements: 233 meV/atom
Final energy: -7.53 eV per atom
Space group: P4/mbm, No. 127

No. 2
Here is crystalline MnNi4Rh at its relaxed geometry from Alexandria via LeMat-Bulk. Energies are from PBE-GGA.

a b c (Å): 6.3152 5.1145 5.1210
angles (deg): 119.96 90.88 90.00
Last column: nearest neighbours and their distance in Å.
Fractional coordinates of all 12 atoms:
Ni1 0.3228 0.5928 0.6773  6 Ni 2.50-2.76, 3 Mn 2.54-2.59, 3 Rh 2.55-2.58
Ni2 0.9985 0.2490 0.4981  10 Ni 2.50-2.57, 1 Mn 2.53, 1 Rh 2.58
Ni3 0.6772 0.9155 0.3227  6 Ni 2.50-2.76, 3 Mn 2.54-2.59, 3 Rh 2.55-2.58
Ni4 0.0000 0.7492 0.0000  8 Ni 2.51-2.57, 2 Mn 2.57, 2 Rh 2.59
Ni5 0.3228 0.0845 0.6773  6 Ni 2.50-2.76, 3 Mn 2.54-2.59, 3 Rh 2.55-2.58
Ni6 0.6772 0.4072 0.3227  6 Ni 2.50-2.76, 3 Mn 2.54-2.59, 3 Rh 2.55-2.58
Ni7 0.0015 0.7510 0.5019  10 Ni 2.50-2.57, 1 Mn 2.53, 1 Rh 2.58
Ni8 0.0000 0.2508 0.0000  8 Ni 2.51-2.57, 2 Mn 2.57, 2 Rh 2.59
Mn1 0.3297 0.0929 0.1859  9 Ni 2.53-2.59, 2 Rh 2.56, 1 Mn 2.73
Mn2 0.6703 0.9071 0.8141  9 Ni 2.53-2.59, 2 Rh 2.56, 1 Mn 2.73
Rh1 0.3376 0.5889 0.1777  9 Ni 2.55-2.59, 2 Mn 2.56, 1 Rh 2.61
Rh2 0.6624 0.4111 0.8223  9 Ni 2.55-2.59, 2 Mn 2.56, 1 Rh 2.61

Properties
Energy relative to the elements: -29 meV/atom
Final energy: -6.64 eV per atom
Space group: C2/m, No. 12

No. 3
Here is crystalline MnNi8Rh6 at its relaxed geometry from Alexandria via LeMat-Bulk. Energies are from PBE-GGA.

a b c (Å): 6.9834 6.9834 6.2196
angles (deg): 55.85 55.85 60.00
Last column: nearest neighbours and their distance in Å.
Fractional coordinates of all 15 atoms:
Rh1 0.3210 0.1531 0.9251  4 Ni 2.45-2.62, 5 Rh 2.59-2.74, 1 Mn 2.65
Rh2 0.3991 0.6790 0.0749  4 Ni 2.45-2.62, 5 Rh 2.59-2.74, 1 Mn 2.65
Rh3 0.6790 0.8469 0.0749  4 Ni 2.45-2.62, 5 Rh 2.59-2.74, 1 Mn 2.65
Rh4 0.6009 0.3210 0.9251  4 Ni 2.45-2.62, 5 Rh 2.59-2.74, 1 Mn 2.65
Rh5 0.1531 0.6009 0.9251  4 Ni 2.45-2.62, 5 Rh 2.59-2.74, 1 Mn 2.65
Rh6 0.8469 0.3991 0.0749  4 Ni 2.45-2.62, 5 Rh 2.59-2.74, 1 Mn 2.65
Ni1 0.1800 0.8530 0.4279  5 Ni 2.39-2.45, 3 Rh 2.45-2.53
Ni2 0.7884 0.7884 0.6348  6 Ni 2.42-2.44, 3 Rh 2.62
Ni3 0.5391 0.1800 0.4279  5 Ni 2.39-2.45, 3 Rh 2.45-2.53
Ni4 0.4609 0.8200 0.5721  5 Ni 2.39-2.45, 3 Rh 2.45-2.53
Ni5 0.2116 0.2116 0.3652  6 Ni 2.42-2.44, 3 Rh 2.62
Ni6 0.8530 0.5391 0.4279  5 Ni 2.39-2.45, 3 Rh 2.45-2.53
Ni7 0.1470 0.4609 0.5721  5 Ni 2.39-2.45, 3 Rh 2.45-2.53
Ni8 0.8200 0.1470 0.5721  5 Ni 2.39-2.45, 3 Rh 2.45-2.53
Mn1 0.0000 0.0000 0.0000  6 Rh 2.65

Properties
Energy relative to the elements: 212 meV/atom
Final energy: -6.42 eV per atom
Space group: R-3, No. 148

No. 4
Here is crystalline MnNi2Rh at its relaxed geometry from Alexandria via LeMat-Bulk. Energies are from PBE-GGA.

a b c (Å): 2.7066 3.4597 5.2412
angles (deg): 90.00 90.00 90.00
Last column: nearest neighbours and their distance in Å.
Fractional coordinates of all 4 atoms:
Ni1 0.5000 0.5000 0.2384  2 Mn 2.51-2.73, 6 Ni 2.52-2.71, 4 Rh 2.58
Ni2 0.0000 0.0000 0.0043  6 Ni 2.52-2.71, 4 Mn 2.54, 2 Rh 2.59-2.65
Mn1 0.5000 0.5000 0.7595  6 Ni 2.51-2.73, 4 Rh 2.59, 2 Mn 2.71
Rh1 0.0000 0.0000 0.4978  6 Ni 2.58-2.65, 4 Mn 2.59, 2 Rh 2.71

Properties
Energy relative to the elements: -26 meV/atom
Final energy: -7.05 eV per atom
Space group: Pmm2, No. 25

No. 5
Here is crystalline Mn3NiRh at its relaxed geometry from Alexandria via LeMat-Bulk. Energies are from PBE-GGA.

a b c (Å): 4.1465 4.1465 4.1465
angles (deg): 90.00 90.00 90.00
Last column: nearest neighbours and their distance in Å.
Fractional coordinates of all 5 atoms:
Ni1 0.0000 0.0000 0.0000  6 Mn 2.07
Mn1 0.5000 0.0000 0.0000  2 Ni 2.07
Mn2 0.0000 0.5000 0.0000  2 Ni 2.07
Mn3 0.0000 0.0000 0.5000  2 Ni 2.07
Rh1 0.5000 0.5000 0.5000  12 Mn 2.93

Properties
Energy relative to the elements: 1437 meV/atom
Final energy: -6.69 eV per atom
Space group: Pm-3m, No. 221

No. 6
Here is crystalline MnNi4Rh6 at its relaxed geometry from Alexandria via LeMat-Bulk. Energies are from PBE-GGA.

a b c (Å): 4.3068 4.1376 19.1718
angles (deg): 90.00 90.00 121.36
Last column: nearest neighbours and their distance in Å.
Fractional coordinates of all 22 atoms:
Ni1 0.8495 0.6989 0.9577  8 Rh 2.54-2.69, 2 Ni 2.66-2.68
Ni2 0.5464 0.0928 0.6248  8 Rh 2.40-2.65, 1 Ni 2.66
Ni3 0.4536 0.9072 0.1248  8 Rh 2.40-2.65, 1 Ni 2.66
Ni4 0.1505 0.3011 0.0423  8 Rh 2.54-2.69, 2 Ni 2.66-2.68
Ni5 0.5464 0.0928 0.8752  8 Rh 2.40-2.65, 1 Ni 2.66
Ni6 0.1505 0.3011 0.4577  8 Rh 2.54-2.69, 2 Ni 2.66-2.68
Ni7 0.4536 0.9072 0.3752  8 Rh 2.40-2.65, 1 Ni 2.66
Ni8 0.8495 0.6989 0.5423  8 Rh 2.54-2.69, 2 Ni 2.66-2.68
Rh1 0.7979 0.5958 0.4052  7 Ni 2.49-2.69, 2 Rh 2.76-2.78
Rh2 0.5000 0.0000 0.5000  8 Ni 2.42-2.60
Rh3 0.2021 0.4042 0.5948  7 Ni 2.49-2.69, 2 Rh 2.76-2.78
Rh4 0.5480 0.0959 0.7500  2 Ni 2.40, 3 Mn 2.40-2.43
Rh5 0.4520 0.9041 0.2500  2 Ni 2.40, 3 Mn 2.40-2.43
Rh6 0.5000 0.0000 0.0000  8 Ni 2.42-2.60
Rh7 0.2021 0.4042 0.9052  7 Ni 2.49-2.69, 2 Rh 2.76-2.78
Rh8 0.8824 0.7649 0.6778  4 Ni 2.58-2.65, 3 Mn 2.68-2.84, 5 Rh 2.74-2.81
Rh9 0.1176 0.2351 0.1778  4 Ni 2.58-2.65, 3 Mn 2.68-2.84, 5 Rh 2.74-2.81
Rh10 0.7979 0.5958 0.0948  7 Ni 2.49-2.69, 2 Rh 2.76-2.78
Rh11 0.8824 0.7649 0.8222  4 Ni 2.58-2.65, 3 Mn 2.68-2.84, 5 Rh 2.74-2.81
Rh12 0.1176 0.2351 0.3222  4 Ni 2.58-2.65, 3 Mn 2.68-2.84, 5 Rh 2.74-2.81
Mn1 0.2081 0.4161 0.7500  5 Rh 2.40-2.68
Mn2 0.7919 0.5839 0.2500  5 Rh 2.40-2.68

Properties
Energy relative to the elements: 149 meV/atom
Final energy: -6.80 eV per atom
Space group: Cmcm, No. 63

No. 7
Here is crystalline MnNi6Rh at its relaxed geometry from Alexandria via LeMat-Bulk. Energies are from PBE-GGA.

a b c (Å): 3.6015 5.1028 5.1028
angles (deg): 89.99 90.00 90.00
Last column: nearest neighbours and their distance in Å.
Fractional coordinates of all 8 atoms:
Ni1 0.0000 0.2490 0.7510  8 Ni 2.54-2.56, 2 Mn 2.54, 2 Rh 2.55
Ni2 0.0000 0.7510 0.2490  8 Ni 2.54-2.56, 2 Mn 2.54, 2 Rh 2.55
Ni3 0.5000 0.0000 0.5000  8 Ni 2.55, 2 Rh 2.55, 2 Mn 2.55
Ni4 0.0000 0.7510 0.7510  8 Ni 2.54-2.56, 2 Mn 2.54, 2 Rh 2.55
Ni5 0.0000 0.2490 0.2490  8 Ni 2.54-2.56, 2 Mn 2.54, 2 Rh 2.55
Ni6 0.5000 0.5000 0.0000  8 Ni 2.55, 2 Mn 2.55, 2 Rh 2.55
Rh1 0.5000 0.5000 0.5000  12 Ni 2.55
Mn1 0.5000 0.0000 0.0000  12 Ni 2.54-2.55

Properties
Energy relative to the elements: -18 meV/atom
Final energy: -6.42 eV per atom
Space group: P4/mmm, No. 123

No. 8
Here is crystalline MnNiRh at its relaxed geometry from Alexandria via LeMat-Bulk. Energies are from PBE-GGA.

a b c (Å): 4.5754 4.5754 4.5754
angles (deg): 140.76 140.76 56.70
Last column: nearest neighbours and their distance in Å.
Fractional coordinates of all 3 atoms:
Mn1 0.9929 0.9929 0.0000  4 Ni 2.49, 5 Rh 2.58-2.64
Rh1 0.6646 0.6646 0.0000  5 Mn 2.58-2.64, 5 Ni 2.59-2.60
Ni1 0.3425 0.3425 0.0000  4 Mn 2.49, 5 Rh 2.59-2.60

Properties
Energy relative to the elements: 10 meV/atom
Final energy: -7.42 eV per atom
Space group: I4mm, No. 107

No. 9
Here is crystalline Mn2Ni2Rh at its relaxed geometry from Alexandria via LeMat-Bulk. Energies are from PBE-GGA.

a b c (Å): 6.7093 6.7093 2.5953
angles (deg): 90.00 90.00 90.00
Last column: nearest neighbours and their distance in Å.
Fractional coordinates of all 10 atoms:
Rh1 0.5000 0.5000 0.0000  2 Rh 2.60, 4 Ni 2.66, 8 Mn 2.80
Rh2 0.0000 0.0000 0.0000  2 Rh 2.60, 4 Ni 2.66, 8 Mn 2.80
Mn1 0.3268 0.1732 0.5000  6 Ni 2.32-2.40, 2 Mn 2.60
Mn2 0.6732 0.8268 0.5000  6 Ni 2.32-2.40, 2 Mn 2.60
Mn3 0.1732 0.6732 0.5000  6 Ni 2.32-2.40, 2 Mn 2.60
Mn4 0.8268 0.3268 0.5000  6 Ni 2.32-2.40, 2 Mn 2.60
Ni1 0.1239 0.3761 0.0000  6 Mn 2.32-2.40, 3 Ni 2.35-2.60
Ni2 0.6239 0.1239 0.0000  6 Mn 2.32-2.40, 3 Ni 2.35-2.60
Ni3 0.3761 0.8761 0.0000  6 Mn 2.32-2.40, 3 Ni 2.35-2.60
Ni4 0.8761 0.6239 0.0000  6 Mn 2.32-2.40, 3 Ni 2.35-2.60

Properties
Energy relative to the elements: 234 meV/atom
Final energy: -7.22 eV per atom
Space group: P4/mbm, No. 127

No. 10
Here is crystalline MnNiRh2 at its relaxed geometry from Alexandria via LeMat-Bulk. Energies are from PBE-GGA.

a b c (Å): 4.0055 2.6890 5.0561
angles (deg): 74.60 90.00 90.00
Last column: nearest neighbours and their distance in Å.
Fractional coordinates of all 4 atoms:
Mn1 0.0000 0.6928 0.4907  2 Ni 2.40, 7 Rh 2.56-2.68
Rh1 0.5000 0.2959 0.2833  3 Ni 2.55-2.69, 4 Mn 2.61-2.62, 2 Rh 2.69
Rh2 0.0000 0.9550 0.9649  3 Mn 2.56-2.68, 4 Ni 2.61, 6 Rh 2.69-2.87
Ni1 0.5000 0.5563 0.7610  2 Mn 2.40, 5 Rh 2.55-2.61

Properties
Energy relative to the elements: 19 meV/atom
Final energy: -7.39 eV per atom
Space group: Amm2, No. 38

Across the entries above, ρ takes the values 9.6 9.1 9.5 9.3 7.6 10.3 9.0 9.5 9.4 10.1 g/cm3, respectively.
Across the entries above, DOS(E_F) takes the values 7.921 7.346 26.212 5.694 9.693 20.844 10.501 3.721 12.056 7.605 states/eV/f.u., respectively.